Material: TmZrCoIr
Method: DFT, GGA-PBE
State: optimized geometry

abc: 6.616 6.616 6.616
angles: 90.00 90.00 90.00
Fractional positions:
Tm 0.000 0.000 0.000
Tm 0.000 0.500 0.500
Tm 0.500 0.000 0.500
Tm 0.500 0.500 0.000
Zr 0.000 0.000 0.500
Zr 0.000 0.500 0.000
Zr 0.500 0.000 0.000
Zr 0.500 0.500 0.500
Co 0.250 0.250 0.750
Co 0.250 0.750 0.250
Co 0.750 0.250 0.250
Co 0.750 0.750 0.750
Ir 0.250 0.250 0.250
Ir 0.250 0.750 0.750
Ir 0.750 0.250 0.750
Ir 0.750 0.750 0.250

Results
Its density is 11.7 g cm⁻³. For the final energy, the calculation gives -7.819 eV per atom.